Entry 1:
Density functional theory data (PBE) for CdSnSe3 after structural relaxation.

Cell: 6.9220 6.9220 7.4006 Å, 90.00 90.00 120.00°
Last column: nearest neighbours and their distance in Å.
Element x y z (fractional)
Cd: 0.0000 0.0000 0.2142  3 Se 2.61
Cd: 0.0000 0.0000 0.7858  3 Se 2.61
Sn: 0.3333 0.6667 0.0000  6 Se 2.75
Sn: 0.6667 0.3333 0.0000  6 Se 2.75
Se: 0.0000 0.3764 0.7728  1 Cd 2.61, 2 Sn 2.75
Se: 0.0000 0.6236 0.2272  1 Cd 2.61, 2 Sn 2.75
Se: 0.3764 0.0000 0.7728  1 Cd 2.61, 2 Sn 2.75
Se: 0.3764 0.3764 0.2272  1 Cd 2.61, 2 Sn 2.75
Se: 0.6236 0.0000 0.2272  1 Cd 2.61, 2 Sn 2.75
Se: 0.6236 0.6236 0.7728  1 Cd 2.61, 2 Sn 2.75

## Properties
- uncorrected formation energy (eV per atom) = -0.361
- space-group type = P-31m
- magnetic moment (μB/f.u.) = 0.00

---

Entry 2:
Density functional theory data (PBE) for Cd2SnSe after structural relaxation.

Cell: 7.3208 7.3208 7.3208 Å, 90.00 90.00 90.00°
Last column: nearest neighbours and their distance in Å.
Element x y z (fractional)
Cd: 0.2500 0.2500 0.2500  4 Sn 3.17, 4 Se 3.17
Cd: 0.2500 0.2500 0.7500  4 Se 3.17, 4 Sn 3.17
Cd: 0.2500 0.7500 0.2500  4 Se 3.17, 4 Sn 3.17
Cd: 0.2500 0.7500 0.7500  4 Se 3.17, 4 Sn 3.17
Cd: 0.7500 0.2500 0.2500  4 Se 3.17, 4 Sn 3.17
Cd: 0.7500 0.2500 0.7500  4 Se 3.17, 4 Sn 3.17
Cd: 0.7500 0.7500 0.2500  4 Se 3.17, 4 Sn 3.17
Cd: 0.7500 0.7500 0.7500  4 Se 3.17, 4 Sn 3.17
Sn: 0.0000 0.0000 0.0000  8 Cd 3.17
Sn: 0.0000 0.5000 0.5000  8 Cd 3.17
Sn: 0.5000 0.0000 0.5000  8 Cd 3.17
Sn: 0.5000 0.5000 0.0000  8 Cd 3.17
Se: 0.0000 0.0000 0.5000  8 Cd 3.17
Se: 0.0000 0.5000 0.0000  8 Cd 3.17
Se: 0.5000 0.0000 0.0000  8 Cd 3.17
Se: 0.5000 0.5000 0.5000  8 Cd 3.17

## Properties
- uncorrected formation energy (eV per atom) = 0.155
- space-group type = Fm-3m
- magnetic moment (μB/f.u.) = 0.00

---

Entry 3:
Density functional theory data (PBE) for CdSn2Se2 after structural relaxation.

Cell: 8.1143 8.1143 4.0389 Å, 90.00 90.00 90.00°
Last column: nearest neighbours and their distance in Å.
Element x y z (fractional)
Cd: 0.0000 0.0000 0.0000  4 Se 3.05
Cd: 0.5000 0.5000 0.0000  4 Se 3.05
Sn: 0.1623 0.3377 0.5000  2 Se 2.87
Sn: 0.3377 0.8377 0.5000  2 Se 2.87
Sn: 0.6623 0.1623 0.5000  2 Se 2.87
Sn: 0.8377 0.6623 0.5000  2 Se 2.87
Se: 0.1605 0.6605 0.0000  2 Sn 2.87, 2 Cd 3.05
Se: 0.3395 0.1605 0.0000  2 Sn 2.87, 2 Cd 3.05
Se: 0.6605 0.8395 0.0000  2 Sn 2.87, 2 Cd 3.05
Se: 0.8395 0.3395 0.0000  2 Sn 2.87, 2 Cd 3.05

## Properties
- uncorrected formation energy (eV per atom) = -0.145
- space-group type = P4/mbm
- magnetic moment (μB/f.u.) = 0.00

---

Entry 4:
Density functional theory data (PBE) for CdSnSe3 after structural relaxation.

Cell: 5.2157 5.2157 5.2157 Å, 90.00 90.00 90.00°
Last column: nearest neighbours and their distance in Å.
Element x y z (fractional)
Cd: 0.0000 0.0000 0.0000  6 Se 2.61
Sn: 0.5000 0.5000 0.5000  12 Se 3.69
Se: 0.0000 0.0000 0.5000  2 Cd 2.61
Se: 0.0000 0.5000 0.0000  2 Cd 2.61
Se: 0.5000 0.0000 0.0000  2 Cd 2.61

## Properties
- uncorrected formation energy (eV per atom) = 0.253
- space-group type = Pm-3m
- magnetic moment (μB/f.u.) = 0.00

---

Entry 5:
Density functional theory data (PBE) for CdSnSe3 after structural relaxation.

Cell: 9.6960 3.9619 14.9839 Å, 90.00 90.00 90.00°
Last column: nearest neighbours and their distance in Å.
Element x y z (fractional)
Cd: 0.0270 0.2500 0.1049  5 Se 2.70-2.90
Cd: 0.4730 0.7500 0.6049  5 Se 2.70-2.90
Cd: 0.5270 0.2500 0.3951  5 Se 2.70-2.90
Cd: 0.9730 0.7500 0.8951  5 Se 2.70-2.90
Sn: 0.1625 0.2500 0.5407  6 Se 2.65-2.89
Sn: 0.3375 0.7500 0.0407  6 Se 2.65-2.89
Sn: 0.6625 0.2500 0.9593  6 Se 2.65-2.89
Sn: 0.8375 0.7500 0.4593  6 Se 2.65-2.89
Se: 0.0013 0.2500 0.3902  3 Sn 2.74
Se: 0.1735 0.7500 0.1823  1 Sn 2.65, 2 Cd 2.70
Se: 0.1780 0.2500 0.9451  3 Cd 2.81-2.90, 2 Sn 2.89
Se: 0.3220 0.7500 0.4451  3 Cd 2.81-2.90, 2 Sn 2.89
Se: 0.3265 0.2500 0.6823  1 Sn 2.65, 2 Cd 2.70
Se: 0.4987 0.7500 0.8902  3 Sn 2.74
Se: 0.5013 0.2500 0.1098  3 Sn 2.74
Se: 0.6735 0.7500 0.3177  1 Sn 2.65, 2 Cd 2.70
Se: 0.6780 0.2500 0.5549  3 Cd 2.81-2.90, 2 Sn 2.89
Se: 0.8220 0.7500 0.0549  3 Cd 2.81-2.90, 2 Sn 2.89
Se: 0.8265 0.2500 0.8177  1 Sn 2.65, 2 Cd 2.70
Se: 0.9987 0.7500 0.6098  3 Sn 2.74

## Properties
- uncorrected formation energy (eV per atom) = -0.338
- space-group type = Pnma
- magnetic moment (μB/f.u.) = 0.00

---

Entry 6:
Density functional theory data (PBE) for CdSn2Se3 after structural relaxation.

Cell: 7.5340 7.5340 17.6503 Å, 94.02 94.02 131.27°
Last column: nearest neighbours and their distance in Å.
Element x y z (fractional)
Cd: 0.2206 0.2337 0.3363  4 Se 2.66-2.80
Cd: 0.2337 0.2206 0.8363  4 Se 2.66-2.80
Cd: 0.7663 0.7794 0.1637  4 Se 2.66-2.80
Cd: 0.7794 0.7663 0.6637  4 Se 2.66-2.80
Sn: 0.1458 0.3461 0.0361  3 Se 2.74-2.93
Sn: 0.1647 0.5899 0.6314  3 Se 2.85-2.90
Sn: 0.3461 0.1458 0.5361  3 Se 2.74-2.93
Sn: 0.4101 0.8353 0.8686  3 Se 2.85-2.90
Sn: 0.5899 0.1647 0.1314  3 Se 2.85-2.90
Sn: 0.6539 0.8542 0.4639  3 Se 2.74-2.93
Sn: 0.8353 0.4101 0.3686  3 Se 2.85-2.90
Sn: 0.8542 0.6539 0.9639  3 Se 2.74-2.93
Se: 0.0046 0.3687 0.8928  2 Sn 2.74-2.85, 1 Cd 2.80
Se: 0.1300 0.3248 0.4725  1 Cd 2.71, 2 Sn 2.92-2.93
Se: 0.1450 0.8550 0.7500  2 Cd 2.68, 2 Sn 2.87
Se: 0.3248 0.1300 0.9725  1 Cd 2.71, 2 Sn 2.92-2.93
Se: 0.3687 0.0046 0.3928  2 Sn 2.74-2.85, 1 Cd 2.80
Se: 0.4328 0.5672 0.7500  2 Cd 2.66, 2 Sn 2.90
Se: 0.5672 0.4328 0.2500  2 Cd 2.66, 2 Sn 2.90
Se: 0.6313 0.9954 0.6072  2 Sn 2.74-2.85, 1 Cd 2.80
Se: 0.6752 0.8700 0.0275  1 Cd 2.71, 2 Sn 2.92-2.93
Se: 0.8550 0.1450 0.2500  2 Cd 2.68, 2 Sn 2.87
Se: 0.8700 0.6752 0.5275  1 Cd 2.71, 2 Sn 2.92-2.93
Se: 0.9954 0.6313 0.1072  2 Sn 2.74-2.85, 1 Cd 2.80

## Properties
- uncorrected formation energy (eV per atom) = -0.393
- space-group type = C2/c
- magnetic moment (μB/f.u.) = 0.00

---

Entry 7:
Density functional theory data (PBE) for Sr2CdSnSe5 after structural relaxation.

Cell: 9.4381 9.4381 13.3422 Å, 90.00 90.00 154.35°
Last column: nearest neighbours and their distance in Å.
Element x y z (fractional)
Sr: 0.0878 0.9122 0.5000  6 Se 3.08-3.32
Sr: 0.1266 0.8734 0.1466  8 Se 3.13-3.41
Sr: 0.8734 0.1266 0.6466  8 Se 3.13-3.41
Sr: 0.9122 0.0878 0.0000  6 Se 3.08-3.32
Cd: 0.4366 0.5634 0.2855  4 Se 2.58-2.81
Cd: 0.5634 0.4366 0.7855  4 Se 2.58-2.81
Sn: 0.2300 0.7700 0.8739  6 Se 2.69-2.86
Sn: 0.7700 0.2300 0.3739  6 Se 2.69-2.86
Se: 0.0791 0.9209 0.9057  2 Cd 2.65, 1 Sn 2.81
Se: 0.2598 0.7402 0.5193  2 Sn 2.86, 1 Sr 3.18
Se: 0.2880 0.7120 0.2362  2 Sn 2.81, 1 Cd 2.81
Se: 0.3732 0.6268 0.8343  1 Sn 2.69
Se: 0.4978 0.5022 0.6144  1 Cd 2.58
Se: 0.5022 0.4978 0.1144  1 Cd 2.58
Se: 0.6268 0.3732 0.3343  1 Sn 2.69
Se: 0.7120 0.2880 0.7362  2 Sn 2.81, 1 Cd 2.81
Se: 0.7402 0.2598 0.0193  2 Sn 2.86, 1 Sr 3.18
Se: 0.9209 0.0791 0.4057  2 Cd 2.65, 1 Sn 2.81

## Properties
- uncorrected formation energy (eV per atom) = -1.121
- space-group type = Cmc2_1
- magnetic moment (μB/f.u.) = 0.00

---

Entry 8:
Density functional theory data (PBE) for ThCdSnSe after structural relaxation.

Cell: 4.6605 4.6605 9.5220 Å, 90.00 90.00 90.00°
Last column: nearest neighbours and their distance in Å.
Element x y z (fractional)
Th: 0.2500 0.2500 0.1936  4 Se 2.97
Th: 0.7500 0.7500 0.8064  4 Se 2.97
Cd: 0.2500 0.7500 0.5000  4 Sn 3.01, 4 Cd 3.30
Cd: 0.7500 0.2500 0.5000  4 Sn 3.01, 4 Cd 3.30
Sn: 0.2500 0.2500 0.7004  4 Cd 3.01
Sn: 0.7500 0.7500 0.2996  4 Cd 3.01
Se: 0.2500 0.7500 0.0000  4 Th 2.97, 4 Se 3.30
Se: 0.7500 0.2500 0.0000  4 Th 2.97, 4 Se 3.30

## Properties
- uncorrected formation energy (eV per atom) = -0.783
- space-group type = P4/nmm
- magnetic moment (μB/f.u.) = 0.00

---

Entry 9:
Density functional theory data (PBE) for SrCdSe3 after structural relaxation.

Cell: 5.8862 5.8862 5.8862 Å, 90.00 90.00 90.00°
Last column: nearest neighbours and their distance in Å.
Element x y z (fractional)
Sr: 0.0000 0.0000 0.0000  6 Se 2.94
Cd: 0.5000 0.5000 0.5000  12 Se 4.16
Se: 0.0000 0.0000 0.5000  2 Sr 2.94
Se: 0.0000 0.5000 0.0000  2 Sr 2.94
Se: 0.5000 0.0000 0.0000  2 Sr 2.94

## Properties
- uncorrected formation energy (eV per atom) = 0.100
- space-group type = Pm-3m
- magnetic moment (μB/f.u.) = 3.49

---

Entry 10:
Density functional theory data (PBE) for SrCdSe3 after structural relaxation.

Cell: 5.2704 5.2704 5.2704 Å, 90.00 90.00 90.00°
Last column: nearest neighbours and their distance in Å.
Element x y z (fractional)
Sr: 0.0000 0.0000 0.0000  12 Se 3.73
Cd: 0.5000 0.5000 0.5000  6 Se 2.64
Se: 0.0000 0.5000 0.5000  2 Cd 2.64
Se: 0.5000 0.0000 0.5000  2 Cd 2.64
Se: 0.5000 0.5000 0.0000  2 Cd 2.64

## Properties
- uncorrected formation energy (eV per atom) = -0.552
- space-group type = Pm-3m
- magnetic moment (μB/f.u.) = 0.00

---

Entry 11:
Density functional theory data (PBE) for SrCd2Se after structural relaxation.

Cell: 3.8969 3.8969 7.2598 Å, 90.00 90.00 90.00°
Last column: nearest neighbours and their distance in Å.
Element x y z (fractional)
Sr: 0.0000 0.0000 0.0000  8 Cd 3.48, 2 Se 3.63, 4 Sr 3.90
Cd: 0.5000 0.5000 0.2938  1 Cd 2.99, 4 Se 3.14
Cd: 0.5000 0.5000 0.7062  1 Cd 2.99, 4 Se 3.14
Se: 0.0000 0.0000 0.5000  8 Cd 3.14

## Properties
- uncorrected formation energy (eV per atom) = -0.419
- space-group type = P4/mmm
- magnetic moment (μB/f.u.) = 0.00

---

Entry 12:
Density functional theory data (PBE) for Sr2CdSe after structural relaxation.

Cell: 4.5475 6.2633 9.7646 Å, 90.00 90.00 90.00°
Last column: nearest neighbours and their distance in Å.
Element x y z (fractional)
Sr: 0.0000 0.0000 0.2124  2 Se 3.08
Sr: 0.0000 0.0000 0.7876  2 Se 3.08
Sr: 0.5000 0.5000 0.2876  2 Se 3.08
Sr: 0.5000 0.5000 0.7124  2 Se 3.08
Cd: 0.0000 0.5000 0.0000  8 Sr 3.61-3.76, 4 Se 3.87
Cd: 0.5000 0.0000 0.5000  8 Sr 3.61-3.76, 4 Se 3.87
Se: 0.0000 0.5000 0.5000  4 Sr 3.08
Se: 0.5000 0.0000 0.0000  4 Sr 3.08

## Properties
- uncorrected formation energy (eV per atom) = -0.797
- space-group type = Immm
- magnetic moment (μB/f.u.) = 0.00